VASP calculation (GGA-PBE) on a relaxed Ac2TmSbO6 crystal.

abc: 6.5951 8.4158 5.9577
angles: 90.00 90.00 90.00
Fractional positions:
Ac1 0.2500 0.0024 0.2343
Ac2 0.2500 0.4976 0.2343
Ac3 0.7500 0.5024 0.7657
Ac4 0.7500 0.9976 0.7657
Tm1 0.2500 0.7500 0.7268
Tm2 0.7500 0.2500 0.2732
Sb1 0.2500 0.2500 0.7764
Sb2 0.7500 0.7500 0.2236
O1 0.0474 0.2500 0.0723
O2 0.0540 0.7500 0.4289
O3 0.2500 0.5067 0.8329
O4 0.2500 0.9933 0.8329
O5 0.4460 0.7500 0.4289
O6 0.4526 0.2500 0.0723
O7 0.5474 0.7500 0.9277
O8 0.5540 0.2500 0.5711
O9 0.7500 0.0067 0.1671
O10 0.7500 0.4933 0.1671
O11 0.9460 0.2500 0.5711
O12 0.9526 0.7500 0.9277

Properties
- space group = Pmmn
- final energy (eV/atom) = -7.302